# 1
Density functional theory data (PBE-GGA) for a relaxed structure of Mn2As. Values from VASP.

```
&SYSTEM
  ibrav = 0, nat = 6, ntyp = 2
/
ATOMIC_SPECIES
Mn 54.94 Mn.upf
As 74.92 As.upf
CELL_PARAMETERS angstrom
3.304 0.000 0.000
0.000 4.686 0.000
0.000 0.000 6.178
ATOMIC_POSITIONS angstrom
Mn 0.000 0.908 4.004
Mn 0.000 3.778 2.173
Mn 1.652 3.251 5.262
Mn 1.652 1.435 0.916
As 0.000 0.000 0.000
As 1.652 2.343 3.089
```

Crystal system: orthorhombic
E: -7.287 eV/atom
Energy of formation from the pure elements: 375 meV/atom
Mass density: 6.42 Mg/m³
Fermi-level density of states: 3.90 states/eV per cell

# 2
Density functional theory data (PBE-GGA) for a relaxed structure of Mn7As6. Values from VASP.

```
&SYSTEM
  ibrav = 0, nat = 13, ntyp = 2
/
ATOMIC_SPECIES
As 74.92 As.upf
Mn 54.94 Mn.upf
CELL_PARAMETERS angstrom
9.438 -0.006 -0.004
8.082 4.875 -0.004
8.082 2.246 4.327
ATOMIC_POSITIONS angstrom
As 23.456 6.519 3.958
As 2.146 0.596 0.362
As 20.773 5.773 3.505
As 4.829 1.342 0.815
As 17.099 4.752 2.885
As 8.503 2.363 1.435
Mn 15.645 3.057 1.856
Mn 14.978 4.163 3.982
Mn 14.978 5.454 1.856
Mn 9.957 4.058 2.464
Mn 10.623 1.662 2.464
Mn 10.623 2.952 0.337
Mn 12.801 3.558 2.160
```

Crystal system: trigonal
E: -7.131 eV/atom
Energy of formation from the pure elements: -48 meV/atom
Mass density: 6.94 Mg/m³
Fermi-level density of states: 7.66 states/eV per cell

# 3
Density functional theory data (PBE-GGA) for a relaxed structure of MnAs3. Values from VASP.

```
&SYSTEM
  ibrav = 0, nat = 8, ntyp = 2
/
ATOMIC_SPECIES
Mn 54.94 Mn.upf
As 74.92 As.upf
CELL_PARAMETERS angstrom
-5.667 1.994 -1.329
-1.705 -5.049 -0.305
-0.178 2.600 4.658
ATOMIC_POSITIONS angstrom
Mn -4.789 1.494 2.042
Mn -2.464 -2.053 1.052
As -3.204 -0.585 -0.721
As -6.885 1.023 3.150
As -5.644 3.753 1.953
As -3.999 -0.763 2.403
As -4.445 -3.315 0.476
As -6.090 1.201 0.026
```

Crystal system: hexagonal
E: -5.551 eV/atom
Energy of formation from the pure elements: 228 meV/atom
ΔE to the lowest computed polymorph: 225 meV per atom
Mass density: 6.12 Mg/m³
Fermi-level density of states: 5.10 states/eV per cell

# 4
Density functional theory data (PBE-GGA) for a relaxed structure of Mn5As4. Values from VASP.

```
&SYSTEM
  ibrav = 0, nat = 18, ntyp = 2
/
ATOMIC_SPECIES
As 74.92 As.upf
Mn 54.94 Mn.upf
CELL_PARAMETERS angstrom
7.704 0.000 0.000
-3.852 6.672 0.000
0.000 0.000 5.295
ATOMIC_POSITIONS angstrom
As 0.000 0.000 0.000
As 0.000 0.000 2.648
As -1.503 2.604 1.324
As 2.349 4.068 1.324
As 3.007 0.000 1.324
As -2.349 4.068 3.971
As 1.503 2.604 3.971
As 4.697 0.000 3.971
Mn -2.740 4.746 1.324
Mn 1.112 1.925 1.324
Mn 5.481 0.000 1.324
Mn -1.112 1.925 3.971
Mn 2.740 4.746 3.971
Mn 2.223 0.000 3.971
Mn 3.852 2.224 0.000
Mn 0.000 4.448 2.648
Mn 0.000 4.448 0.000
Mn 3.852 2.224 2.648
```

Crystal system: hexagonal
E: -7.163 eV/atom
Energy of formation from the pure elements: -2 meV/atom
Mass density: 7.01 Mg/m³
Fermi-level density of states: 11.07 states/eV per cell

# 5
Density functional theory data (PBE-GGA) for a relaxed structure of MnAs2. Values from VASP.

```
&SYSTEM
  ibrav = 0, nat = 12, ntyp = 2
/
ATOMIC_SPECIES
As 74.92 As.upf
Mn 54.94 Mn.upf
CELL_PARAMETERS angstrom
-3.505 -1.045 16.150
-6.797 -4.629 14.373
6.977 1.022 -14.983
ATOMIC_POSITIONS angstrom
As -7.719 -4.251 22.870
As -2.583 -1.423 7.654
As -3.407 -2.845 15.823
As 1.728 -0.016 0.607
As -6.108 -3.364 18.097
As -4.194 -2.310 12.426
As -1.797 -1.957 11.050
As 0.118 -0.903 5.379
Mn -9.608 -5.292 28.468
Mn -0.694 -0.382 2.056
Mn -1.791 -2.840 5.270
Mn -3.179 -3.604 9.382
```

Crystal system: tetragonal
E: -5.954 eV/atom
Energy of formation from the pure elements: 202 meV/atom
Mass density: 6.20 Mg/m³
Fermi-level density of states: 5.29 states/eV per cell

# 6
Density functional theory data (PBE-GGA) for a relaxed structure of MnAs3. Values from VASP.

```
&SYSTEM
  ibrav = 0, nat = 4, ntyp = 2
/
ATOMIC_SPECIES
As 74.92 As.upf
Mn 54.94 Mn.upf
CELL_PARAMETERS angstrom
-2.698 1.377 2.174
-0.259 -4.657 2.629
2.697 1.281 2.535
ATOMIC_POSITIONS angstrom
As 0.487 0.231 0.457
As 0.281 1.463 2.619
As 0.387 -0.754 4.154
Mn 0.384 -2.085 1.797
```

Crystal system: orthorhombic
E: -5.753 eV/atom
Energy of formation from the pure elements: 27 meV/atom
ΔE to the lowest computed polymorph: 23 meV per atom
Mass density: 5.94 Mg/m³
Fermi-level density of states: 0.96 states/eV per cell

# 7
Density functional theory data (PBE-GGA) for a relaxed structure of MnAs3. Values from VASP.

```
&SYSTEM
  ibrav = 0, nat = 8, ntyp = 2
/
ATOMIC_SPECIES
Mn 54.94 Mn.upf
As 74.92 As.upf
CELL_PARAMETERS angstrom
-3.936 6.870 7.590
-1.685 10.070 4.007
0.513 -8.330 -7.117
ATOMIC_POSITIONS angstrom
Mn -3.685 11.104 7.602
Mn -1.936 5.835 3.995
As -0.586 0.870 -1.555
As -1.712 -0.730 0.237
As -3.117 3.505 3.136
As -1.991 5.105 1.344
As -4.977 14.999 10.268
As -0.644 1.941 1.329
```

Crystal system: tetragonal
E: -5.504 eV/atom
Energy of formation from the pure elements: 275 meV/atom
ΔE to the lowest computed polymorph: 272 meV per atom
Mass density: 6.20 Mg/m³
Fermi-level density of states: 3.99 states/eV per cell

# 8
Density functional theory data (PBE-GGA) for a relaxed structure of MnAs2. Values from VASP.

```
&SYSTEM
  ibrav = 0, nat = 6, ntyp = 2
/
ATOMIC_SPECIES
Mn 54.94 Mn.upf
As 74.92 As.upf
CELL_PARAMETERS angstrom
-1.314 -4.248 -3.256
-5.155 -0.545 -1.873
-1.099 0.852 -5.333
ATOMIC_POSITIONS angstrom
Mn -3.784 -1.971 -5.231
Mn -5.676 -2.956 -7.846
As -1.603 -2.617 -2.936
As -3.523 -0.765 -2.244
As -1.496 -0.067 -3.974
As -0.946 -0.493 -1.308
```

Crystal system: cubic
E: -5.524 eV/atom
Energy of formation from the pure elements: 632 meV/atom
Mass density: 5.75 Mg/m³
Fermi-level density of states: 4.74 states/eV per cell